NdTmAu4 | the Alexandria database | PBE | optimized geometry; VASP energy = -27.254 eV per formula unit; SG = P4/mmm, No. 123; M_tot = 0.00 μB per formula unit; energy of formation = -0.8175 eV/atom; offset from the most stable computed form = 0.002 eV/atom
1.0
-0.4072 -3.7522 -0.2001
1.8241 -0.0214 -3.3102
7.9733 -1.0999 4.4010
Tm Au Nd
1 4 1
direct
0.5000 0.5000 0.5000
0.0000 0.0000 0.3417
0.5000 0.5000 0.1746
0.5000 0.5000 0.8254
0.0000 0.0000 0.6583
0.0000 0.0000 0.0000